! KSnSb2I | the Alexandria database | PBE | relaxed; values from VASP
&SYSTEM
  ibrav = 0, nat = 5, ntyp = 4
/
ATOMIC_SPECIES
K 39.10 K.upf
I 126.90 I.upf
Sb 121.76 Sb.upf
Sn 118.71 Sn.upf
ATOMIC_POSITIONS angstrom
K 0.0000 0.0000 0.0000
I 0.0000 0.0000 3.0258
Sb 2.9887 0.0000 0.0000
Sb 0.0000 2.9887 0.0000
Sn 2.9887 2.9887 3.0258
CELL_PARAMETERS angstrom
5.9773 0.0000 0.0000
0.0000 5.9773 0.0000
0.0000 0.0000 6.0516
! Density ... 4.06 g/cm3
! Space group ... No. 123
! ΔE_f (raw) ... 0.876 eV per atom